28
Lattice="5.6561 0.0000 0.0000 0.0000 6.4644 0.0000 0.0000 0.0000 14.3764" Properties=species:S:1:pos:R:3 comment="CsVOF4 PBE with a Hubbard U relaxed" energy_ev_per_cell=-156.313 n_ef_per_ev_cell=0.00 magnetic_moment_mub_per_fu=0.1 pbc="T T T"
V 2.9076 4.8483 12.3259
F 3.7519 4.8483 10.6590
Cs 2.9135 4.8483 5.3629
Cs 0.0855 4.8483 1.8253
F 3.0023 3.4218 2.3263
V 2.7485 1.6161 2.0505
O 1.4695 1.6161 1.0640
O 4.1866 4.8483 13.3124
F 0.1743 3.4218 4.8619
F 2.6538 0.1896 12.0501
Cs 5.5706 1.6161 12.5511
F 4.3596 4.8483 8.0305
F 0.1743 6.2749 4.8619
O 1.3586 4.8483 8.2522
F 0.9238 4.8483 10.9056
F 2.6538 3.0426 12.0501
F 4.7323 1.6161 3.4708
F 5.4818 0.1896 9.5145
V 0.0795 4.8483 9.2387
Cs 2.7426 1.6161 9.0135
F 1.9042 1.6161 3.7174
F 3.0023 6.2749 2.3263
O 4.2975 1.6161 6.1242
F 1.2965 1.6161 6.3459
F 5.4818 3.0426 9.5145
V 5.5766 1.6161 5.1377
F 1.5315 4.8483 13.5341
F 4.1246 1.6161 0.8423